No. 1
{
  "formula": "Li2NdZn2Si2",
  "functional": "GGA-PBE",
  "state": "optimized geometry",
  "cell": [[2.0992, 1.2120, 8.0435], [-2.0992, 1.2120, 8.0435], [0.0000, -2.4240, 8.0435]],
  "species": ["Li", "Li", "Nd", "Zn", "Zn", "Si", "Si"],
  "fractional_positions": [[0.1420, 0.1420, 0.1420], [0.8580, 0.8580, 0.8580], [0.0000, 0.0000, 0.0000], [0.4279, 0.4279, 0.4279], [0.5721, 0.5721, 0.5721], [0.2531, 0.2531, 0.2531], [0.7469, 0.7469, 0.7469]],
  "m_tot_mub_per_cell": 0.0,
  "dft_energy_ev_per_atom": -3.60,
  "sg": "R-3m (166)",
  "raw_formation_energy_ev_per_fu": -3.227
}



No. 2
{
  "formula": "LiNdZnSi",
  "functional": "GGA-PBE",
  "state": "optimized geometry",
  "cell": [[0.0000, 3.4442, 3.4442], [3.4442, 0.0000, 3.4442], [3.4442, 3.4442, 0.0000]],
  "species": ["Li", "Nd", "Zn", "Si"],
  "fractional_positions": [[0.0000, 0.0000, 0.0000], [0.5000, 0.5000, 0.5000], [0.2500, 0.2500, 0.2500], [0.7500, 0.7500, 0.7500]],
  "m_tot_mub_per_cell": 0.0,
  "dft_energy_ev_per_atom": -3.67,
  "sg": "F-43m (216)",
  "raw_formation_energy_ev_per_fu": -1.297
}



No. 3
{
  "formula": "LiNd2Sm",
  "functional": "GGA-PBE",
  "state": "optimized geometry",
  "cell": [[3.5728, 0.0000, 0.0000], [-1.7864, 3.0941, 0.0000], [0.0000, 0.0000, 12.0085]],
  "species": ["Li", "Nd", "Nd", "Sm"],
  "fractional_positions": [[0.0000, 0.0000, 0.0000], [0.0000, 0.0000, 0.7275], [0.6667, 0.3333, 0.2368], [0.3333, 0.6667, 0.4843]],
  "m_tot_mub_per_cell": 0.0,
  "e_form_mev_per_atom": 124,
  "dft_energy_ev_per_atom": -3.92,
  "sg": "P3m1 (156)"
}



No. 4
{
  "formula": "LiNdSm2",
  "functional": "GGA-PBE",
  "state": "optimized geometry",
  "cell": [[3.7100, 0.0000, 0.0000], [0.0000, 3.7100, 0.0000], [0.0000, 0.0000, 8.9459]],
  "species": ["Li", "Nd", "Sm", "Sm"],
  "fractional_positions": [[0.0000, 0.0000, 0.0000], [0.0000, 0.0000, 0.5000], [0.5000, 0.5000, 0.2198], [0.5000, 0.5000, 0.7802]],
  "m_tot_mub_per_cell": 0.0,
  "e_form_mev_per_atom": 70,
  "dft_energy_ev_per_atom": -3.96,
  "sg": "P4/mmm (123)"
}



No. 5
{
  "formula": "LiNdSm2",
  "functional": "GGA-PBE",
  "state": "optimized geometry",
  "cell": [[0.0000, 3.9723, 3.9723], [3.9723, 0.0000, 3.9723], [3.9723, 3.9723, 0.0000]],
  "species": ["Li", "Nd", "Sm", "Sm"],
  "fractional_positions": [[0.0000, 0.0000, 0.0000], [0.5000, 0.5000, 0.5000], [0.2500, 0.2500, 0.2500], [0.7500, 0.7500, 0.7500]],
  "m_tot_mub_per_cell": 0.0,
  "e_form_mev_per_atom": 198,
  "dft_energy_ev_per_atom": -3.83,
  "sg": "Fm-3m (225)"
}



No. 6
{
  "formula": "LiNdSm2",
  "functional": "GGA-PBE",
  "state": "optimized geometry",
  "cell": [[5.7860, 0.0000, 0.0000], [0.0000, 5.7860, 0.0000], [0.0000, 0.0000, 3.7266]],
  "species": ["Li", "Nd", "Sm", "Sm"],
  "fractional_positions": [[0.0000, 0.0000, 0.0000], [0.5000, 0.5000, 0.0000], [0.0000, 0.5000, 0.5000], [0.5000, 0.0000, 0.5000]],
  "m_tot_mub_per_cell": 0.0,
  "e_form_mev_per_atom": 144,
  "dft_energy_ev_per_atom": -3.89,
  "sg": "P4/mmm (123)"
}



No. 7
{
  "formula": "LiNdSm2",
  "functional": "GGA-PBE",
  "state": "optimized geometry",
  "cell": [[3.5578, 0.0000, 0.0000], [-1.7789, 3.0811, 0.0000], [0.0000, 0.0000, 11.9494]],
  "species": ["Li", "Nd", "Sm", "Sm"],
  "fractional_positions": [[0.0000, 0.0000, 0.0000], [0.3333, 0.6667, 0.4845], [0.0000, 0.0000, 0.7290], [0.6667, 0.3333, 0.2347]],
  "m_tot_mub_per_cell": 0.0,
  "e_form_mev_per_atom": 140,
  "dft_energy_ev_per_atom": -3.89,
  "sg": "P3m1 (156)"
}



No. 8
{
  "formula": "LiNd5Sm4",
  "functional": "GGA-PBE",
  "state": "optimized geometry",
  "cell": [[3.6622, 0.0000, 0.0000], [0.0000, 3.6622, 0.0000], [0.0000, 0.0000, 24.8042]],
  "species": ["Li", "Nd", "Nd", "Nd", "Nd", "Nd", "Sm", "Sm", "Sm", "Sm"],
  "fractional_positions": [[0.0000, 0.0000, 0.0000], [0.5000, 0.5000, 0.0849], [0.5000, 0.5000, 0.2910], [0.5000, 0.5000, 0.5000], [0.5000, 0.5000, 0.7090], [0.5000, 0.5000, 0.9151], [0.0000, 0.0000, 0.1867], [0.0000, 0.0000, 0.3955], [0.0000, 0.0000, 0.6045], [0.0000, 0.0000, 0.8133]],
  "m_tot_mub_per_cell": 0.0,
  "e_form_mev_per_atom": 30,
  "dft_energy_ev_per_atom": -4.43,
  "sg": "P4/mmm (123)"
}



No. 9
{
  "formula": "LiNd4Sm",
  "functional": "GGA-PBE",
  "state": "optimized geometry",
  "cell": [[3.6785, 0.0000, 0.0000], [0.0000, 3.6785, 0.0000], [0.0000, 0.0000, 14.4870]],
  "species": ["Li", "Nd", "Nd", "Nd", "Nd", "Sm"],
  "fractional_positions": [[0.0000, 0.0000, 0.0000], [0.0000, 0.0000, 0.3213], [0.0000, 0.0000, 0.6787], [0.5000, 0.5000, 0.1446], [0.5000, 0.5000, 0.8554], [0.5000, 0.5000, 0.5000]],
  "m_tot_mub_per_cell": 0.0,
  "e_form_mev_per_atom": 45,
  "dft_energy_ev_per_atom": -4.24,
  "sg": "P4/mmm (123)"
}



No. 10
{
  "formula": "LiNd8Sm5",
  "functional": "GGA-PBE",
  "state": "optimized geometry",
  "cell": [[-4.8753, 4.8753, 5.1284], [4.8753, -4.8753, 5.1284], [4.8753, 4.8753, -5.1284]],
  "species": ["Li", "Nd", "Nd", "Nd", "Nd", "Nd", "Nd", "Nd", "Nd", "Sm", "Sm", "Sm", "Sm", "Sm"],
  "fractional_positions": [[0.0000, 0.0000, 0.0000], [0.0882, 0.3124, 0.3891], [0.2775, 0.1742, 0.7593], [0.3009, 0.9118, 0.2243], [0.4150, 0.5182, 0.2407], [0.4818, 0.7225, 0.8967], [0.6876, 0.0766, 0.7757], [0.8258, 0.5850, 0.1033], [0.9234, 0.6991, 0.6109], [0.0319, 0.4272, 0.8062], [0.2500, 0.7500, 0.5000], [0.5728, 0.3790, 0.6047], [0.6210, 0.2257, 0.1938], [0.7743, 0.9681, 0.3953]],
  "m_tot_mub_per_cell": 0.0,
  "e_form_mev_per_atom": 223,
  "dft_energy_ev_per_atom": -4.32,
  "sg": "I-4 (82)"
}



No. 11
{
  "formula": "LiNdSm2",
  "functional": "GGA-PBE",
  "state": "optimized geometry",
  "cell": [[1.7957, 1.0367, 11.4318], [-1.7957, 1.0367, 11.4318], [0.0000, -2.0734, 11.4318]],
  "species": ["Li", "Nd", "Sm", "Sm"],
  "fractional_positions": [[0.0000, 0.0000, 0.0000], [0.8331, 0.8331, 0.8331], [0.4129, 0.4129, 0.4129], [0.5871, 0.5871, 0.5871]],
  "m_tot_mub_per_cell": 0.0,
  "e_form_mev_per_atom": 103,
  "dft_energy_ev_per_atom": -3.93,
  "sg": "R3m (160)"
}



No. 12
{
  "formula": "LiNd2Sm",
  "functional": "GGA-PBE",
  "state": "optimized geometry",
  "cell": [[0.0000, 3.9838, 3.9838], [3.9838, 0.0000, 3.9838], [3.9838, 3.9838, 0.0000]],
  "species": ["Li", "Nd", "Nd", "Sm"],
  "fractional_positions": [[0.0000, 0.0000, 0.0000], [0.2500, 0.2500, 0.2500], [0.7500, 0.7500, 0.7500], [0.5000, 0.5000, 0.5000]],
  "m_tot_mub_per_cell": 0.0,
  "e_form_mev_per_atom": 176,
  "dft_energy_ev_per_atom": -3.87,
  "sg": "Fm-3m (225)"
}